A plane-wave DFT calculation with PBE-GGA was carried out for an optimized crystal structure of Th3SbAu.

Cell lengths 4.894, 7.957, 9.087 Å; angles 115.96, 90.00, 90.00 degrees
Element x y z (fractional)
1 Th 0.500 0.321 0.000
2 Th 0.000 0.827 0.655
3 Th 0.500 0.679 0.000
4 Th 0.500 0.500 0.500
5 Th 0.000 0.173 0.345
6 Th 0.500 0.000 0.500
7 Sb 0.000 0.628 0.256
8 Sb 0.000 0.372 0.744
9 Au 0.500 0.085 0.170
10 Au 0.500 0.915 0.830

Values from the calculation:
The calculated total energy comes out at -61.09 eV/cell.